# 1
Fe6Ni2Ge | PBE | relaxed

a = 4.7715 Å, b = 4.7715 Å, c = 6.1491 Å
α = 95.09°, β = 95.09°, γ = 110.32°
Atoms (fractional coordinates):
Fe 0.0165 0.5729 0.3191
Fe 0.0907 0.0907 0.3307
Fe 0.4271 0.9835 0.6809
Fe 0.5729 0.0165 0.3191
Fe 0.9093 0.9093 0.6693
Fe 0.9835 0.4271 0.6809
Ni 0.1688 0.8312 0.0000
Ni 0.8312 0.1688 0.0000
Ge 0.5000 0.5000 0.5000

Results
magnetization: 16.48 μB/cell
D(E_F): 0.88 states/eV/atom
energy relative to the elements: 392 meV/atom
DFT total energy: -63.43 eV for the cell shown
V: 129.7 Å³ per cell

=====

# 2
LaRu2 | PBE | relaxed

a = 4.6231 Å, b = 4.6231 Å, c = 2.9603 Å
α = 90.00°, β = 90.00°, γ = 120.00°
Atoms (fractional coordinates):
La 0.0000 0.0000 0.0000
Ru 0.3333 0.6667 0.2675
Ru 0.6667 0.3333 0.7325

Results
magnetization: 0.00 μB/cell
D(E_F): 1.73 states/eV/atom
energy relative to the elements: 415 meV/atom
DFT total energy: -22.23 eV for the cell shown
V: 54.8 Å³ per cell

=====

# 3
AcPr8 | PBE | relaxed

a = 8.3769 Å, b = 8.3769 Å, c = 8.3769 Å
α = 95.75°, β = 95.75°, γ = 143.10°
Atoms (fractional coordinates):
Ac 0.0000 0.0000 0.0000
Pr 0.0000 0.3355 0.3355
Pr 0.0000 0.6645 0.6645
Pr 0.3309 0.3309 0.6619
Pr 0.3309 0.6691 0.0000
Pr 0.3355 0.0000 0.3355
Pr 0.6645 0.0000 0.6645
Pr 0.6691 0.3309 0.0000
Pr 0.6691 0.6691 0.3381

Results
magnetization: 0.00 μB/cell
D(E_F): 1.79 states/eV/atom
energy relative to the elements: 17 meV/atom
DFT total energy: -42.20 eV for the cell shown
V: 334.8 Å³ per cell

=====

# 4
Ce7Hg2Pt2 | PBE | relaxed

a = 6.9636 Å, b = 6.9636 Å, c = 6.7303 Å
α = 90.00°, β = 90.00°, γ = 105.88°
Atoms (fractional coordinates):
Ce 0.0000 0.0000 0.0000
Ce 0.0000 0.5000 0.2838
Ce 0.0000 0.5000 0.7162
Ce 0.5000 0.0000 0.2838
Ce 0.5000 0.0000 0.7162
Ce 0.5000 0.5000 0.2857
Ce 0.5000 0.5000 0.7143
Hg 0.1641 0.1641 0.5000
Hg 0.8359 0.8359 0.5000
Pt 0.2894 0.7106 0.0000
Pt 0.7106 0.2894 0.0000

Results
magnetization: 5.06 μB/cell
D(E_F): 3.09 states/eV/atom
energy relative to the elements: -360 meV/atom
DFT total energy: -58.18 eV for the cell shown
V: 313.9 Å³ per cell

=====

# 5
Rb2LaCdTe | PBE | relaxed

a = 7.8936 Å, b = 7.8936 Å, c = 6.0250 Å
α = 90.00°, β = 90.00°, γ = 90.00°
Atoms (fractional coordinates):
Rb 0.0000 0.5000 0.0000
Rb 0.5000 0.0000 0.0000
La 0.0000 0.0000 0.0000
Cd 0.5000 0.5000 0.5000
Te 0.0000 0.0000 0.5000

Results
magnetization: 1.11 μB/cell
D(E_F): 0.57 states/eV/atom
DFT total energy: -10.65 eV for the cell shown
V: 375.4 Å³ per cell

=====

# 6
Ba3Si4Ag2 | PBE | relaxed

a = 6.6722 Å, b = 6.6722 Å, c = 9.1632 Å
α = 94.54°, β = 94.54°, γ = 37.69°
Atoms (fractional coordinates):
Ba 0.0000 0.0000 0.0000
Ba 0.3329 0.3329 0.3312
Ba 0.6671 0.6671 0.6688
Si 0.0490 0.0490 0.3977
Si 0.2771 0.2771 0.9459
Si 0.7229 0.7229 0.0541
Si 0.9510 0.9510 0.6023
Ag 0.3895 0.3895 0.7227
Ag 0.6105 0.6105 0.2773

Results
magnetization: 0.00 μB/cell
D(E_F): 0.67 states/eV/atom
DFT total energy: -36.34 eV for the cell shown
V: 248.5 Å³ per cell

=====

# 7
Li2TbTmSe4 | PBE | relaxed

a = 6.9000 Å, b = 4.0551 Å, c = 7.0204 Å
α = 90.00°, β = 109.79°, γ = 90.00°
Atoms (fractional coordinates):
Li 0.0000 0.0000 0.0000
Li 0.0000 0.5000 0.5000
Tb 0.5000 0.0000 0.5000
Tm 0.5000 0.5000 0.0000
Se 0.2468 0.5000 0.2453
Se 0.2487 0.0000 0.7535
Se 0.7513 0.0000 0.2465
Se 0.7532 0.5000 0.7547

Results
magnetization: 0.00 μB/cell
D(E_F): 0.00 states/eV/atom
DFT total energy: -40.42 eV for the cell shown
V: 184.8 Å³ per cell

=====

# 8
InHg3Pt | PBE | relaxed

a = 5.3032 Å, b = 5.3032 Å, c = 5.3032 Å
α = 90.00°, β = 90.00°, γ = 90.00°
Atoms (fractional coordinates):
In 0.0000 0.0000 0.0000
Hg 0.0000 0.5000 0.5000
Hg 0.5000 0.0000 0.5000
Hg 0.5000 0.5000 0.0000
Pt 0.5000 0.5000 0.5000

Results
magnetization: 0.00 μB/cell
D(E_F): 0.60 states/eV/atom
offset from the most stable computed form: 0 meV per atom
energy relative to the elements: 58 meV/atom
DFT total energy: -9.40 eV for the cell shown
V: 149.1 Å³ per cell

=====

# 9
PrSb6 | PBE | relaxed

a = 7.1993 Å, b = 7.1993 Å, c = 7.1993 Å
α = 109.47°, β = 109.47°, γ = 109.47°
Atoms (fractional coordinates):
Pr 0.0000 0.0000 0.0000
Sb 0.2500 0.5000 0.7500
Sb 0.2500 0.7500 0.5000
Sb 0.5000 0.2500 0.7500
Sb 0.5000 0.7500 0.2500
Sb 0.7500 0.2500 0.5000
Sb 0.7500 0.5000 0.2500

Results
magnetization: 1.01 μB/cell
D(E_F): 1.26 states/eV/atom
DFT total energy: -26.06 eV for the cell shown
V: 287.2 Å³ per cell

=====

# 10
Sr2Ta2In | PBE | relaxed

a = 5.6206 Å, b = 5.6206 Å, c = 6.1933 Å
α = 90.00°, β = 90.00°, γ = 90.00°
Atoms (fractional coordinates):
Sr 0.0000 0.0000 0.0000
Sr 0.5000 0.5000 0.0000
Ta 0.0000 0.5000 0.5000
Ta 0.5000 0.0000 0.5000
In 0.0000 0.0000 0.5000

Results
magnetization: 4.00 μB/cell
D(E_F): 1.47 states/eV/atom
energy relative to the elements: 1471 meV/atom
DFT total energy: -22.45 eV for the cell shown
V: 195.7 Å³ per cell

=====

Copy entry 1 word for word.
Fe6Ni2Ge | PBE | relaxed

a = 4.7715 Å, b = 4.7715 Å, c = 6.1491 Å
α = 95.09°, β = 95.09°, γ = 110.32°
Atoms (fractional coordinates):
Fe 0.0165 0.5729 0.3191
Fe 0.0907 0.0907 0.3307
Fe 0.4271 0.9835 0.6809
Fe 0.5729 0.0165 0.3191
Fe 0.9093 0.9093 0.6693
Fe 0.9835 0.4271 0.6809
Ni 0.1688 0.8312 0.0000
Ni 0.8312 0.1688 0.0000
Ge 0.5000 0.5000 0.5000

Results
magnetization: 16.48 μB/cell
D(E_F): 0.88 states/eV/atom
energy relative to the elements: 392 meV/atom
DFT total energy: -63.43 eV for the cell shown
V: 129.7 Å³ per cell

=====

Q: Look up the D(E_F) of the tenth one.
A: 1.47 states/eV/atom

=====

Q: Among the records above, which one has the lowest DFT total energy?
A: Fe6Ni2Ge